[1]
VASP calculation (PBE-GGA) on a relaxed RhC2 crystal.

Cell lengths 15.5067, 15.5067, 15.5067 Å; angles 170.32, 170.32, 13.71 degrees
Fractional coordinates of all 12 atoms:
C (0.8642, 0.3642, 0.5000)
C (0.6142, 0.6142, 0.0000)
Rh (0.9379, 0.9379, 0.0000)
C (0.2478, 0.2478, 0.0000)
Rh (0.3121, 0.8121, 0.5000)
Rh (0.0621, 0.0621, 0.0000)
C (0.4978, 0.9978, 0.5000)
C (0.0022, 0.5022, 0.5000)
C (0.3858, 0.3858, 0.0000)
Rh (0.1879, 0.6879, 0.5000)
C (0.7522, 0.7522, 0.0000)
C (0.6358, 0.1358, 0.5000)

Properties
**E above lowest polymorph**: 1160.8 meV per atom
**Energy**: -6.98 eV/atom
**Energy of formation**: 1.622 eV per atom
**V**: 105 Å³/cell


[2]
VASP calculation (PBE-GGA) on a relaxed ReIrPd2O crystal.

Cell lengths 4.2070, 4.0864, 4.2070 Å; angles 90.00, 90.00, 90.00 degrees
Site moments in Bohr magnetons follow the coordinates.
Fractional coordinates of all 5 atoms:
O (0.0000, 0.0000, 0.0000)  0.03
Pd (0.0000, 0.0000, 0.5000)  0.17
Pd (0.5000, 0.0000, 0.0000)  0.16
Ir (0.0000, 0.5000, 0.0000)  0.38
Re (0.5000, 0.5000, 0.5000)  1.76

Properties
**Energy**: -6.52 eV/atom
**ΔE_f (raw)**: 0.81 eV per atom
**V**: 72 Å³/cell


[3]
VASP calculation (PBE-GGA) on a relaxed NaSr5Ga crystal.

Cell lengths 5.5993, 5.5992, 10.1957 Å; angles 90.00, 90.00, 90.00 degrees
Fractional coordinates of all 7 atoms:
Sr (0.0000, 0.5000, 0.1827)
Sr (0.0000, 0.5000, 0.8173)
Na (0.0000, 0.0000, 0.5000)
Sr (0.5000, 0.0000, 0.1827)
Sr (0.5000, 0.0000, 0.8173)
Ga (0.5000, 0.5000, 0.0000)
Sr (0.5000, 0.5000, 0.5000)

Properties
**Energy**: -1.88 eV/atom
**Energy of formation**: -0.061 eV per atom
**V**: 320 Å³/cell


[4]
VASP calculation (PBE-GGA) on a relaxed LiPm2Zn2Ni5 crystal.

Cell lengths 3.6690, 9.4013, 9.4013 Å; angles 90.00, 90.00, 90.00 degrees
Fractional coordinates of all 20 atoms:
Ni (0.5000, 0.7130, 0.4387)
Pm (0.0000, 0.1828, 0.3172)
Li (0.0000, 0.5000, 0.5000)
Ni (0.5000, 0.2870, 0.5613)
Pm (0.0000, 0.3172, 0.8172)
Ni (0.5000, 0.0613, 0.7870)
Ni (0.5000, 0.2130, 0.0613)
Ni (0.5000, 0.4387, 0.2870)
Pm (0.0000, 0.8172, 0.6828)
Zn (0.0000, 0.1133, 0.6133)
Li (0.0000, 0.0000, 0.0000)
Zn (0.0000, 0.3867, 0.1133)
Ni (0.5000, 0.5000, 0.0000)
Pm (0.0000, 0.6828, 0.1828)
Ni (0.5000, 0.0000, 0.5000)
Ni (0.5000, 0.9387, 0.2130)
Ni (0.5000, 0.5613, 0.7130)
Ni (0.5000, 0.7870, 0.9387)
Zn (0.0000, 0.6133, 0.8867)
Zn (0.0000, 0.8867, 0.3867)

Properties
**Energy**: -4.40 eV/atom
**Energy of formation**: -0.115 eV per atom
**V**: 324 Å³/cell


[5]
VASP calculation (PBE-GGA) on a relaxed TlCdSe crystal.

Cell lengths 5.1146, 5.1146, 5.1146 Å; angles 60.00, 60.00, 60.00 degrees
Fractional coordinates of all 3 atoms:
Tl (0.0000, 0.0000, 0.0000)
Se (0.7500, 0.7500, 0.7500)
Cd (0.5000, 0.5000, 0.5000)

Properties
**E above lowest polymorph**: 172.2 meV per atom
**Energy**: -2.36 eV/atom
**ΔE_f (raw)**: -0.11 eV per atom
**V**: 95 Å³/cell


[6]
VASP calculation (PBE-GGA) on a relaxed Th3Bi4Rh3 crystal.

Cell lengths 8.6830, 8.6830, 8.6830 Å; angles 109.47, 109.47, 109.47 degrees
Fractional coordinates of all 20 atoms:
Th (0.7500, 0.6250, 0.3750)
Rh (0.3750, 0.2500, 0.1250)
Th (0.1250, 0.3750, 0.2500)
Rh (0.2500, 0.3750, 0.6250)
Bi (0.5000, 0.3269, 0.5000)
Th (0.8750, 0.2500, 0.6250)
Bi (0.3269, 0.5000, 0.0000)
Bi (0.0000, 0.0000, 0.8269)
Rh (0.6250, 0.8750, 0.2500)
Th (0.2500, 0.8750, 0.1250)
Th (0.3750, 0.1250, 0.7500)
Bi (0.5000, 0.8269, 0.5000)
Th (0.6250, 0.7500, 0.8750)
Bi (0.8269, 0.5000, 0.0000)
Rh (0.1250, 0.7500, 0.3750)
Bi (0.0000, 0.0000, 0.3269)
Bi (0.1731, 0.6731, 0.6731)
Bi (0.6731, 0.1731, 0.1731)
Rh (0.8750, 0.6250, 0.7500)
Rh (0.7500, 0.1250, 0.8750)

Properties
**Energy**: -6.71 eV/atom
**Energy of formation**: -0.731 eV per atom
**V**: 504 Å³/cell


[7]
VASP calculation (PBE-GGA) on a relaxed CsTl2P2S7 crystal.

Cell lengths 6.3274, 6.3274, 11.6137 Å; angles 74.19, 74.19, 60.00 degrees
Site moments in Bohr magnetons follow the coordinates.
Fractional coordinates of all 12 atoms:
S (0.5991, 0.2136, 0.2499)  0.08
P (0.9312, 0.9312, 0.2063)  -0.01
S (0.7864, 0.4009, 0.7501)  0.08
Tl (0.6827, 0.6827, 0.9519)  0.01
P (0.0688, 0.0688, 0.7937)  -0.01
S (0.2136, 0.9373, 0.2499)  0.08
Cs (0.5000, 0.5000, 0.5000)  0.00
Tl (0.3173, 0.3173, 0.0481)  0.01
S (0.0000, 0.0000, 0.0000)  0.05
S (0.4009, 0.0627, 0.7501)  0.08
S (0.0627, 0.7864, 0.7501)  0.08
S (0.9373, 0.5991, 0.2499)  0.08

Properties
**Energy**: -4.12 eV/atom
**ΔE_f (raw)**: -0.34 eV per atom
**V**: 382 Å³/cell


[8]
VASP calculation (PBE-GGA) on a relaxed ZrFePb2 crystal.

Cell lengths 9.6238, 9.6238, 9.6238 Å; angles 20.44, 20.44, 20.44 degrees
Site moments in Bohr magnetons follow the coordinates.
Fractional coordinates of all 4 atoms:
Pb (0.0168, 0.0168, 0.0168)  -0.02
Zr (0.4829, 0.4829, 0.4829)  -0.40
Pb (0.2442, 0.2442, 0.2442)  -0.02
Fe (0.7560, 0.7560, 0.7560)  1.77

Properties
**E above lowest polymorph**: 116.9 meV per atom
**Energy**: -5.88 eV/atom
**Energy of formation**: 0.228 eV per atom
**V**: 95 Å³/cell


[9]
VASP calculation (PBE-GGA) on a relaxed LiZn3 crystal.

Cell lengths 4.6114, 4.4000, 5.6756 Å; angles 90.00, 90.00, 90.00 degrees
Fractional coordinates of all 8 atoms:
Li (0.3253, 0.7500, 0.7500)
Zn (0.8195, 0.7500, 0.5011)
Li (0.6747, 0.2500, 0.2500)
Zn (0.1805, 0.2500, 0.0011)
Zn (0.3137, 0.7500, 0.2500)
Zn (0.6863, 0.2500, 0.7500)
Zn (0.8195, 0.7500, 0.9989)
Zn (0.1805, 0.2500, 0.4989)

Properties
**Energy**: -1.60 eV/atom
**Energy of formation**: -0.165 eV per atom
**V**: 115 Å³/cell


[10]
VASP calculation (PBE-GGA) on a relaxed KPt3 crystal.

Cell lengths 2.7561, 4.4265, 6.9738 Å; angles 90.00, 90.00, 90.00 degrees
Fractional coordinates of all 4 atoms:
Pt (0.0000, 0.5000, 0.3935)
K (0.0000, 0.0000, 0.0347)
Pt (0.5000, 0.0000, 0.5024)
Pt (0.5000, 0.5000, 0.7361)

Properties
**E above lowest polymorph**: 323.5 meV per atom
**Energy**: -4.63 eV/atom
**Energy of formation**: 0.173 eV per atom
**V**: 85 Å³/cell


[11]
VASP calculation (PBE-GGA) on a relaxed LaCd2Cu9 crystal.

Cell lengths 5.1554, 5.1554, 15.9837 Å; angles 90.00, 90.00, 120.00 degrees
Fractional coordinates of all 24 atoms:
Cu (0.3367, 0.1684, 0.6228)
Cu (0.8316, 0.1684, 0.8772)
Cu (0.6667, 0.3333, 0.7500)
Cu (0.1684, 0.8316, 0.3772)
Cu (0.0000, 0.0000, 0.7500)
La (0.3333, 0.6667, 0.7500)
Cd (0.6667, 0.3333, 0.4669)
Cu (0.8316, 0.6633, 0.8772)
Cu (0.8316, 0.6633, 0.6228)
Cu (0.8316, 0.1684, 0.6228)
Cu (0.0000, 0.0000, 0.0000)
Cu (0.6633, 0.8316, 0.1228)
Cu (0.6633, 0.8316, 0.3772)
Cu (0.0000, 0.0000, 0.5000)
Cu (0.1684, 0.3367, 0.1228)
Cu (0.1684, 0.3367, 0.3772)
Cu (0.0000, 0.0000, 0.2500)
La (0.6667, 0.3333, 0.2500)
Cu (0.1684, 0.8316, 0.1228)
Cu (0.3367, 0.1684, 0.8772)
Cu (0.3333, 0.6667, 0.2500)
Cd (0.6667, 0.3333, 0.0331)
Cd (0.3333, 0.6667, 0.5331)
Cd (0.3333, 0.6667, 0.9669)

Properties
**Energy**: -3.75 eV/atom
**Energy of formation**: -0.118 eV per atom
**V**: 368 Å³/cell